TlCoReO4 | PBE+U | relaxed

Properties
**E_tot**: -6.640 eV per atom
**Calculated volume**: 16.7 Å³/atom
**Density of states at the Fermi level**: 0.3 states/eV/f.u.
**M_tot**: 1.99 μB/cell

Cell lengths 5.5879, 5.6674, 7.3918 Å; angles 90.00, 90.12, 90.00 degrees
Space group P2_1/m (No. 11)
One atom of each set of equivalent atoms:
1 Tl 0.2489 0.2500 0.3691
2 Co 0.1773 0.7500 0.0297
3 Re 0.3126 0.2500 0.8439
4 O 0.0959 0.0048 0.8303
5 O 0.3823 0.7500 0.2629
6 O 0.4734 0.2500 0.0692